The following is a meta-GGA SCAN calculation of Mn2CoRhC at its PBEsol-relaxed geometry, from the Alexandria database.

Cell: 3.797 3.797 3.924 Å, 90.00 90.00 90.00°
Element x y z (fractional)
1 Mn 0.000 0.500 0.000
2 Mn 0.500 0.000 0.000
3 Co 0.000 0.000 0.500
4 Rh 0.500 0.500 0.500
5 C 0.500 0.500 0.000

Calculated values
DOS at the Fermi energy: 1.42 states/eV/f.u.
SG: P4/mmm (123)
calculated formation energy: -0.034 eV/atom